{
  "formula": "Tm4CdAu5",
  "functional": "PBE-GGA",
  "state": "relaxed",
  "lattice_angstrom": [[3.520, 0.000, 0.000], [0.000, 3.520, 0.000], [0.000, 0.000, 17.678]],
  "species": ["Cd", "Au", "Au", "Au", "Au", "Tm", "Au", "Tm", "Tm", "Tm"],
  "frac_coords": [[0.000, 0.000, 0.000], [0.500, 0.500, 0.900], [0.500, 0.500, 0.500], [0.500, 0.500, 0.298], [0.500, 0.500, 0.702], [0.000, 0.000, 0.398], [0.500, 0.500, 0.100], [0.000, 0.000, 0.808], [0.000, 0.000, 0.602], [0.000, 0.000, 0.192]]
}

---

{
  "formula": "Tm2CdAu",
  "functional": "PBE-GGA",
  "state": "relaxed",
  "lattice_angstrom": [[5.118, 0.000, 0.000], [2.559, 4.432, 0.000], [2.559, 1.477, 4.178]],
  "species": ["Cd", "Tm", "Tm", "Au"],
  "frac_coords": [[0.500, 0.500, 0.500], [0.750, 0.750, 0.750], [0.250, 0.250, 0.250], [0.000, 0.000, 0.000]],
  "polymorph_energy_mev_per_atom": 28.6
}

---

{
  "formula": "Tm6Cd5Au",
  "functional": "PBE-GGA",
  "state": "relaxed",
  "lattice_angstrom": [[4.924, -0.029, 1.628], [0.039, 7.324, 0.013], [-0.022, -0.015, 8.207]],
  "species": ["Tm", "Cd", "Cd", "Tm", "Tm", "Tm", "Cd", "Tm", "Cd", "Tm", "Au", "Cd"],
  "frac_coords": [[0.839, 0.754, 0.323], [0.000, 0.500, 0.000], [0.331, 0.500, 0.338], [0.500, 0.760, 0.000], [0.161, 0.246, 0.677], [0.500, 0.240, 0.000], [0.327, 0.000, 0.347], [0.161, 0.754, 0.677], [0.673, 0.000, 0.653], [0.839, 0.246, 0.323], [0.000, 0.000, 0.000], [0.669, 0.500, 0.662]]
}

---

{
  "formula": "TmCdAu",
  "functional": "PBE-GGA",
  "state": "relaxed",
  "lattice_angstrom": [[-3.662, -0.099, -1.105], [0.451, -7.737, -0.800], [-2.141, 3.093, 6.823]],
  "species": ["Au", "Tm", "Cd", "Au", "Cd", "Tm", "Au", "Tm", "Cd"],
  "frac_coords": [[0.500, 0.333, 0.667], [0.000, 0.599, 0.599], [0.500, 0.735, 0.000], [0.000, 0.000, 0.000], [0.500, 0.000, 0.735], [0.000, 0.401, 0.000], [0.500, 0.667, 0.333], [0.000, 0.000, 0.401], [0.500, 0.265, 0.265]]
}

---

{
  "formula": "Tm2Cd2Au",
  "functional": "PBE-GGA",
  "state": "relaxed",
  "lattice_angstrom": [[3.422, 0.000, 0.000], [0.000, 3.430, 0.650], [0.000, -0.199, 10.425]],
  "species": ["Cd", "Tm", "Tm", "Au", "Cd"],
  "frac_coords": [[0.000, 0.807, 0.385], [0.500, 0.412, 0.177], [0.500, 0.588, 0.823], [0.000, 0.000, 0.000], [0.000, 0.193, 0.615]]
}

---

{
  "formula": "TmCd3Au3",
  "functional": "PBE-GGA",
  "state": "relaxed",
  "lattice_angstrom": [[7.517, 0.000, 0.000], [0.000, 7.517, 0.000], [0.000, 0.000, 7.517]],
  "species": ["Au", "Tm", "Au", "Cd", "Tm", "Cd", "Au", "Au", "Cd", "Cd", "Au", "Au", "Cd", "Cd"],
  "frac_coords": [[0.500, 0.000, 0.250], [0.000, 0.000, 0.000], [0.000, 0.750, 0.500], [0.000, 0.500, 0.250], [0.500, 0.500, 0.500], [0.500, 0.250, 0.000], [0.500, 0.000, 0.750], [0.250, 0.500, 0.000], [0.250, 0.000, 0.500], [0.750, 0.000, 0.500], [0.750, 0.500, 0.000], [0.000, 0.250, 0.500], [0.500, 0.750, 0.000], [0.000, 0.500, 0.750]],
  "polymorph_energy_mev_per_atom": 716.4
}

---

{
  "formula": "Tm5Cd3Au12",
  "functional": "PBE-GGA",
  "state": "relaxed",
  "lattice_angstrom": [[-5.513, 1.721, -12.930], [7.777, -11.832, 0.279], [-10.458, -1.000, 9.496]],
  "species": ["Tm", "Tm", "Au", "Cd", "Au", "Au", "Tm", "Au", "Cd", "Au", "Au", "Au", "Tm", "Tm", "Au", "Au", "Au", "Cd", "Au", "Cd", "Au", "Au", "Au", "Tm", "Au", "Au", "Au", "Tm", "Au", "Au", "Au", "Au", "Tm", "Au", "Tm", "Tm", "Au", "Au", "Cd", "Au", "Au", "Tm", "Cd", "Cd", "Tm", "Au", "Au", "Au", "Tm", "Au", "Au", "Tm", "Au", "Tm", "Au", "Tm", "Au", "Au", "Au", "Cd", "Au", "Au", "Au", "Tm", "Cd", "Au", "Cd", "Au", "Au", "Cd", "Au", "Cd", "Tm", "Au", "Au", "Au", "Au", "Au", "Tm", "Tm"],
  "frac_coords": [[0.125, 0.375, 0.250], [0.750, 0.125, 0.875], [0.854, 0.586, 0.925], [0.250, 0.625, 0.875], [0.425, 0.071, 0.339], [0.929, 0.575, 0.161], [0.250, 0.375, 0.625], [0.925, 0.839, 0.571], [0.125, 0.250, 0.875], [0.733, 0.146, 0.071], [0.661, 0.429, 0.575], [0.146, 0.733, 0.571], [0.625, 0.875, 0.250], [0.000, 0.500, 0.000], [0.161, 0.075, 0.929], [0.575, 0.929, 0.661], [0.767, 0.339, 0.914], [0.375, 0.750, 0.625], [0.575, 0.646, 0.414], [0.250, 0.125, 0.375], [0.414, 0.267, 0.339], [0.925, 0.086, 0.854], [0.646, 0.071, 0.233], [0.000, 0.500, 0.500], [0.233, 0.661, 0.086], [0.767, 0.429, 0.354], [0.233, 0.571, 0.646], [0.500, 0.500, 0.500], [0.086, 0.161, 0.233], [0.586, 0.733, 0.661], [0.071, 0.425, 0.839], [0.414, 0.146, 0.575], [0.500, 0.500, 0.000], [0.661, 0.233, 0.586], [0.125, 0.750, 0.375], [0.000, 0.000, 0.500], [0.914, 0.839, 0.767], [0.839, 0.914, 0.267], [0.875, 0.125, 0.250], [0.339, 0.571, 0.425], [0.839, 0.925, 0.071], [0.875, 0.250, 0.625], [0.125, 0.875, 0.750], [0.875, 0.750, 0.125], [0.375, 0.250, 0.125], [0.086, 0.925, 0.354], [0.429, 0.661, 0.075], [0.914, 0.075, 0.646], [0.875, 0.625, 0.750], [0.146, 0.414, 0.075], [0.733, 0.586, 0.161], [0.625, 0.750, 0.875], [0.354, 0.929, 0.767], [0.375, 0.125, 0.750], [0.354, 0.425, 0.086], [0.750, 0.625, 0.375], [0.267, 0.414, 0.839], [0.646, 0.575, 0.914], [0.075, 0.161, 0.429], [0.375, 0.625, 0.250], [0.071, 0.646, 0.733], [0.586, 0.854, 0.425], [0.571, 0.233, 0.146], [0.500, 0.000, 0.000], [0.750, 0.375, 0.125], [0.429, 0.767, 0.854], [0.625, 0.250, 0.375], [0.929, 0.354, 0.267], [0.339, 0.767, 0.414], [0.750, 0.875, 0.625], [0.161, 0.086, 0.733], [0.625, 0.375, 0.750], [0.000, 0.000, 0.000], [0.075, 0.914, 0.146], [0.267, 0.854, 0.929], [0.571, 0.339, 0.925], [0.425, 0.354, 0.586], [0.854, 0.267, 0.429], [0.500, 0.000, 0.500], [0.250, 0.875, 0.125]]
}

---

{
  "formula": "TmCd3Au3",
  "functional": "PBE-GGA",
  "state": "relaxed",
  "lattice_angstrom": [[8.433, 0.000, 0.000], [0.000, 8.433, 0.000], [0.000, 0.000, 8.433]],
  "species": ["Au", "Tm", "Cd", "Au", "Au", "Tm", "Cd", "Tm", "Cd", "Cd", "Tm", "Au", "Cd", "Cd", "Au", "Au", "Cd", "Au", "Au", "Au", "Cd", "Au", "Au", "Cd", "Au", "Cd", "Cd", "Cd"],
  "frac_coords": [[0.261, 0.142, 0.440], [0.553, 0.947, 0.053], [0.622, 0.378, 0.878], [0.761, 0.358, 0.560], [0.358, 0.560, 0.761], [0.053, 0.553, 0.947], [0.122, 0.122, 0.122], [0.447, 0.447, 0.447], [0.310, 0.190, 0.810], [0.599, 0.099, 0.401], [0.947, 0.053, 0.553], [0.560, 0.761, 0.358], [0.810, 0.310, 0.190], [0.878, 0.622, 0.378], [0.060, 0.739, 0.642], [0.239, 0.858, 0.940], [0.378, 0.878, 0.622], [0.739, 0.642, 0.060], [0.858, 0.940, 0.239], [0.642, 0.060, 0.739], [0.401, 0.599, 0.099], [0.940, 0.239, 0.858], [0.440, 0.261, 0.142], [0.690, 0.690, 0.690], [0.142, 0.440, 0.261], [0.901, 0.901, 0.901], [0.099, 0.401, 0.599], [0.190, 0.810, 0.310]],
  "polymorph_energy_mev_per_atom": 0.0
}

---

{
  "formula": "Tm3Cd2Au",
  "functional": "PBE-GGA",
  "state": "relaxed",
  "lattice_angstrom": [[5.144, 0.000, 0.000], [-2.572, 4.455, 0.000], [0.000, 0.000, 6.320]],
  "species": ["Cd", "Tm", "Cd", "Au", "Tm", "Tm"],
  "frac_coords": [[0.333, 0.667, 0.648], [0.333, 0.667, 0.150], [0.667, 0.333, 0.352], [0.000, 0.000, 0.000], [0.000, 0.000, 0.500], [0.667, 0.333, 0.850]],
  "polymorph_energy_mev_per_atom": 14.7
}

---

{
  "formula": "Tm2CdAu",
  "functional": "PBE-GGA",
  "state": "relaxed",
  "lattice_angstrom": [[-3.089, -1.371, -1.620], [0.292, -2.511, -2.768], [-1.126, -7.744, 4.367]],
  "species": ["Tm", "Tm", "Cd", "Au"],
  "frac_coords": [[0.259, 0.259, 0.224], [0.741, 0.741, 0.776], [0.500, 0.500, 0.500], [0.000, 0.000, 0.000]],
  "polymorph_energy_mev_per_atom": 185.1
}

---

{
  "formula": "TmCdAu2",
  "functional": "PBE-GGA",
  "state": "relaxed",
  "lattice_angstrom": [[-0.512, 4.662, 1.408], [-3.618, 1.252, 3.054], [1.024, 1.292, 4.610]],
  "species": ["Au", "Au", "Tm", "Cd"],
  "frac_coords": [[0.500, 0.500, 0.500], [0.000, 0.000, 0.000], [0.250, 0.250, 0.250], [0.750, 0.750, 0.750]]
}

---

{
  "formula": "TmCd4Au5",
  "functional": "PBE-GGA",
  "state": "relaxed",
  "lattice_angstrom": [[-3.059, 1.130, 1.196], [0.350, -2.020, 2.804], [7.728, 12.448, 8.002]],
  "species": ["Au", "Au", "Cd", "Cd", "Au", "Au", "Tm", "Cd", "Au", "Cd"],
  "frac_coords": [[0.500, 0.500, 0.897], [0.500, 0.500, 0.694], [0.000, 0.000, 0.207], [0.000, 0.000, 0.793], [0.500, 0.500, 0.306], [0.500, 0.500, 0.500], [0.000, 0.000, 0.000], [0.000, 0.000, 0.402], [0.500, 0.500, 0.103], [0.000, 0.000, 0.598]]
}

---

{
  "formula": "Tm4Cd5Au6",
  "functional": "PBE-GGA",
  "state": "relaxed",
  "lattice_angstrom": [[3.864, 0.000, 0.000], [-1.932, 11.529, 0.000], [0.000, 0.000, 15.086]],
  "species": ["Tm", "Au", "Tm", "Tm", "Au", "Au", "Au", "Cd", "Cd", "Tm", "Cd", "Tm", "Au", "Cd", "Au", "Au", "Au", "Au", "Cd", "Tm", "Au", "Au", "Cd", "Tm", "Cd", "Au", "Cd", "Cd", "Tm", "Cd"],
  "frac_coords": [[0.866, 0.732, 0.786], [0.103, 0.205, 0.091], [0.949, 0.898, 0.285], [0.018, 0.036, 0.512], [0.578, 0.156, 0.932], [0.770, 0.540, 0.949], [0.730, 0.461, 0.298], [0.694, 0.389, 0.120], [0.178, 0.355, 0.623], [0.134, 0.268, 0.286], [0.639, 0.279, 0.468], [0.051, 0.102, 0.785], [0.230, 0.460, 0.449], [0.672, 0.345, 0.777], [0.417, 0.834, 0.135], [0.540, 0.080, 0.360], [0.897, 0.795, 0.591], [0.270, 0.539, 0.798], [0.536, 0.072, 0.174], [0.179, 0.357, 0.945], [0.460, 0.920, 0.860], [0.422, 0.844, 0.432], [0.361, 0.721, 0.968], [0.821, 0.643, 0.445], [0.464, 0.928, 0.674], [0.583, 0.166, 0.635], [0.328, 0.655, 0.277], [0.306, 0.611, 0.620], [0.982, 0.964, 0.012], [0.822, 0.645, 0.123]]
}

---

{
  "formula": "TmCdAu",
  "functional": "PBE-GGA",
  "state": "relaxed",
  "lattice_angstrom": [[7.293, 0.779, 0.000], [0.655, 7.306, 0.000], [-3.974, -4.042, 6.399]],
  "species": ["Cd", "Au", "Tm", "Cd", "Au", "Tm", "Cd", "Cd", "Au", "Tm", "Tm", "Au"],
  "frac_coords": [[0.125, 0.875, 0.250], [0.945, 0.445, 0.500], [0.891, 0.391, 0.782], [0.125, 0.375, 0.250], [0.695, 0.695, 0.000], [0.609, 0.109, 0.218], [0.125, 0.875, 0.750], [0.625, 0.875, 0.750], [0.305, 0.305, 0.000], [0.641, 0.641, 0.282], [0.359, 0.359, 0.718], [0.555, 0.055, 0.500]]
}

---

{
  "formula": "Tm2CdAu3",
  "functional": "PBE-GGA",
  "state": "relaxed",
  "lattice_angstrom": [[-1.670, 1.954, -2.420], [-2.786, 0.281, 2.150], [4.066, 8.608, 4.145]],
  "species": ["Tm", "Au", "Au", "Au", "Cd", "Tm"],
  "frac_coords": [[0.500, 0.500, 0.175], [0.000, 0.000, 0.668], [0.000, 0.000, 0.000], [0.000, 0.000, 0.332], [0.500, 0.500, 0.500], [0.500, 0.500, 0.825]],
  "polymorph_energy_mev_per_atom": 34.8
}

---

{
  "formula": "TmCd8Au6",
  "functional": "PBE-GGA",
  "state": "relaxed",
  "lattice_angstrom": [[-4.024, -5.328, 3.337], [2.080, -6.918, -1.879], [3.696, -3.571, 5.413]],
  "species": ["Cd", "Au", "Au", "Cd", "Au", "Au", "Cd", "Cd", "Au", "Au", "Cd", "Cd", "Cd", "Cd", "Tm"],
  "frac_coords": [[0.332, 0.332, 0.332], [0.285, 0.611, 0.945], [0.055, 0.715, 0.389], [0.209, 0.881, 0.553], [0.715, 0.389, 0.055], [0.945, 0.285, 0.611], [0.791, 0.119, 0.447], [0.119, 0.447, 0.791], [0.389, 0.055, 0.715], [0.611, 0.945, 0.285], [0.881, 0.553, 0.209], [0.553, 0.209, 0.881], [0.668, 0.668, 0.668], [0.447, 0.791, 0.119], [0.000, 0.000, 0.000]]
}

---

{
  "formula": "Tm2Cd3Au4",
  "functional": "PBE-GGA",
  "state": "relaxed",
  "lattice_angstrom": [[4.804, 0.000, 0.002], [2.401, 4.207, 0.200], [0.000, -0.264, 9.348]],
  "species": ["Cd", "Tm", "Cd", "Au", "Cd", "Au", "Tm", "Au", "Au"],
  "frac_coords": [[0.335, 0.329, 0.425], [0.332, 0.335, 0.783], [0.000, 0.000, 0.000], [0.334, 0.332, 0.101], [0.665, 0.671, 0.575], [0.997, 0.007, 0.657], [0.668, 0.665, 0.217], [0.666, 0.668, 0.899], [0.003, 0.993, 0.343]]
}

---

{
  "formula": "Tm2CdAu",
  "functional": "PBE-GGA",
  "state": "relaxed",
  "lattice_angstrom": [[-0.854, 2.135, 2.823], [-2.096, -2.645, 1.366], [5.607, -2.565, 3.637]],
  "species": ["Cd", "Tm", "Au", "Tm"],
  "frac_coords": [[0.500, 0.500, 0.500], [0.000, 0.000, 0.237], [0.500, 0.500, 0.000], [0.000, 0.000, 0.763]],
  "polymorph_energy_mev_per_atom": 0.0
}

---

{
  "formula": "TmCdAu",
  "functional": "PBE-GGA",
  "state": "relaxed",
  "lattice_angstrom": [[3.742, 0.000, 0.000], [0.000, 3.742, 0.000], [-1.871, -1.871, 4.732]],
  "species": ["Au", "Tm", "Cd"],
  "frac_coords": [[0.284, 0.284, 0.568], [0.943, 0.943, 0.886], [0.623, 0.623, 0.246]]
}

---

Number 1: magnetic moment 0.0 Bohr magnetons per cell, formation enthalpy at 0 K -0.7840 eV per atom. Number 2: magnetic moment 0.0 Bohr magnetons per cell, formation enthalpy at 0 K -0.5752 eV per atom. Number 3: magnetic moment 0.0 Bohr magnetons per cell, formation enthalpy at 0 K -0.4028 eV per atom. Number 4: magnetic moment 0.0 Bohr magnetons per cell, formation enthalpy at 0 K -0.6476 eV per atom. Number 5: magnetic moment 0.0 Bohr magnetons per cell, formation enthalpy at 0 K -0.4207 eV per atom. Number 6: magnetic moment 0.0 Bohr magnetons per cell, formation enthalpy at 0 K 0.3300 eV per atom. Number 7: magnetic moment 0.0 Bohr magnetons per cell, formation enthalpy at 0 K -0.2276 eV per atom. Number 8: magnetic moment 0.0 Bohr magnetons per cell, formation enthalpy at 0 K -0.3865 eV per atom. Number 9: magnetic moment 0.0 Bohr magnetons per cell, formation enthalpy at 0 K -0.4949 eV per atom. Number 10: magnetic moment 0.0 Bohr magnetons per cell, formation enthalpy at 0 K -0.4187 eV per atom. Number 11: magnetic moment 0.0 Bohr magnetons per cell, formation enthalpy at 0 K -0.6635 eV per atom. Number 12: magnetic moment 0.0 Bohr magnetons per cell, formation enthalpy at 0 K -0.3466 eV per atom. Number 13: magnetic moment 0.0 Bohr magnetons per cell, formation enthalpy at 0 K -0.5562 eV per atom. Number 14: magnetic moment 0.0 Bohr magnetons per cell, formation enthalpy at 0 K -0.3540 eV per atom. Number 15: magnetic moment 0.0 Bohr magnetons per cell, formation enthalpy at 0 K -0.7127 eV per atom. Number 16: magnetic moment 0.0 Bohr magnetons per cell, formation enthalpy at 0 K -0.2672 eV per atom. Number 17: magnetic moment 0.0 Bohr magnetons per cell, formation enthalpy at 0 K -0.5518 eV per atom. Number 18: magnetic moment 0.0 Bohr magnetons per cell, formation enthalpy at 0 K -0.6038 eV per atom. Number 19: magnetic moment 0.0 Bohr magnetons per cell, formation enthalpy at 0 K -0.5391 eV per atom.